Version P
Material: GeTe2RuN
Method: DFT, GGA-PBE
State: relaxed

Computed properties:
Calculated density = 6.57 Mg/m³
N(E_F) = 3.486 states/eV per cell

a b c (Å): 5.5278 5.5278 3.6622
angles (deg): 90.00 90.00 90.00
Last column: nearest neighbours and their distance in Å.
Space group P4/mmm (No. 123)
Inequivalent atoms, fractional coordinates:
Ge 0.0000 0.0000 0.0000 [1 per cell]  8 Te 3.32, 2 Ge 3.66
Te 0.0000 0.5000 0.5000 [2 per cell]  2 Ru 2.76
Ru 0.5000 0.5000 0.5000 [1 per cell]  2 N 1.83
N 0.5000 0.5000 0.0000 [1 per cell]  2 Ru 1.83

---

Version Q
Material: GeTe2RuN
Method: DFT, GGA-PBE
State: relaxed

Computed properties:
Calculated density = 7.11 Mg/m³
N(E_F) = 5.840 states/eV per cell

a b c (Å): 5.4756 5.4756 3.4522
angles (deg): 90.00 90.00 90.00
Last column: nearest neighbours and their distance in Å.
Space group P4/mmm (No. 123)
Inequivalent atoms, fractional coordinates:
Ge 0.0000 0.0000 0.0000 [1 per cell]  2 N 1.73
Te 0.0000 0.5000 0.0000 [2 per cell]  2 Ge 2.74
Ru 0.5000 0.5000 0.5000 [1 per cell]  8 Te 3.24, 2 Ru 3.45
N 0.0000 0.0000 0.5000 [1 per cell]  2 Ge 1.73

---

Q: What are the energies relative to the best structure? A: version P 0; version Q 740, in meV/atom.